1.
The following is a GGA-PBE calculation of a relaxed Ce2Sm2Tl7 crystal, from Alexandria via LeMat-Bulk.

Cell: 7.0402 7.0402 7.7660 Å, 90.00 90.00 103.71°
Positions (direct):
Ce 0.1998 0.8002 0.0000
Ce 0.8002 0.1998 0.0000
Sm 0.3112 0.3112 0.5000
Sm 0.6888 0.6888 0.5000
Tl 0.0000 0.0000 0.2962
Tl 0.0000 0.0000 0.7038
Tl 0.0000 0.5000 0.2975
Tl 0.0000 0.5000 0.7025
Tl 0.5000 0.0000 0.2975
Tl 0.5000 0.0000 0.7025
Tl 0.5000 0.5000 0.0000

space-group type = Cmmm, No. 65
E = -3.338 eV per atom

2.
The following is a GGA-PBE calculation of a relaxed CeSm5Tl4 crystal, from Alexandria via LeMat-Bulk.

Cell: 3.6299 3.6299 22.1903 Å, 90.00 90.00 90.00°
Positions (direct):
Ce 0.0000 0.0000 0.0000
Sm 0.5000 0.5000 0.1077
Sm 0.5000 0.5000 0.3035
Sm 0.5000 0.5000 0.5000
Sm 0.5000 0.5000 0.6965
Sm 0.5000 0.5000 0.8923
Tl 0.0000 0.0000 0.2043
Tl 0.0000 0.0000 0.4015
Tl 0.0000 0.0000 0.5985
Tl 0.0000 0.0000 0.7957

space-group type = P4/mmm, No. 123
energy relative to the lowest polymorph listed for this composition = 0.0 kJ/mol of formula units
E = -4.183 eV per atom

3.
The following is a GGA-PBE calculation of a relaxed CeSm2Tl4 crystal, from Alexandria via LeMat-Bulk.

Cell: 5.3417 5.3417 7.7324 Å, 90.00 90.00 90.00°
Positions (direct):
Ce 0.0000 0.0000 0.0000
Sm 0.0000 0.0000 0.5000
Sm 0.5000 0.5000 0.0000
Tl 0.0000 0.5000 0.2699
Tl 0.0000 0.5000 0.7301
Tl 0.5000 0.0000 0.2699
Tl 0.5000 0.0000 0.7301

space-group type = P4/mmm, No. 123
energy relative to the lowest polymorph listed for this composition = 0.0 kJ/mol of formula units
E = -3.725 eV per atom

4.
The following is a GGA-PBE calculation of a relaxed CeSm4Tl5 crystal, from Alexandria via LeMat-Bulk.

Cell: 3.4691 3.4691 26.7347 Å, 90.00 90.00 90.00°
Positions (direct):
Ce 0.0000 0.0000 0.0000
Sm 0.0000 0.0000 0.1715
Sm 0.0000 0.0000 0.3042
Sm 0.0000 0.0000 0.6958
Sm 0.0000 0.0000 0.8285
Tl 0.5000 0.5000 0.0887
Tl 0.5000 0.5000 0.3868
Tl 0.5000 0.5000 0.5000
Tl 0.5000 0.5000 0.6132
Tl 0.5000 0.5000 0.9113

space-group type = P4/mmm, No. 123
E = -3.652 eV per atom

5.
The following is a GGA-PBE calculation of a relaxed CeSmTl2 crystal, from Alexandria via LeMat-Bulk.

Cell: 3.5728 3.5728 8.9923 Å, 90.00 90.00 90.00°
Positions (direct):
Ce 0.0000 0.0000 0.0000
Sm 0.0000 0.0000 0.5000
Tl 0.5000 0.5000 0.2521
Tl 0.5000 0.5000 0.7479

space-group type = P4/mmm, No. 123
energy relative to the lowest polymorph listed for this composition = 0.0 kJ/mol of formula units
E = -4.152 eV per atom

6.
The following is a GGA-PBE calculation of a relaxed Ce2SmTl crystal, from Alexandria via LeMat-Bulk.

Cell: 4.2434 4.2434 6.8035 Å, 90.00 90.00 90.00°
Positions (direct):
Ce 0.0000 0.0000 0.2095
Ce 0.0000 0.0000 0.7905
Sm 0.5000 0.5000 0.5000
Tl 0.5000 0.5000 0.0000

space-group type = P4/mmm, No. 123
energy relative to the lowest polymorph listed for this composition = 51.9 kJ/mol of formula units
E = -4.767 eV per atom

7.
The following is a GGA-PBE calculation of a relaxed CeSmTl2 crystal, from Alexandria via LeMat-Bulk.

Cell: 12.3275 12.3275 12.3275 Å, 16.04 16.04 16.04°
Positions (direct):
Ce 0.0000 0.0000 0.0000
Sm 0.5000 0.5000 0.5000
Tl 0.0887 0.0887 0.0887
Tl 0.9113 0.9113 0.9113

space-group type = R-3m, No. 166
energy relative to the lowest polymorph listed for this composition = 157.7 kJ/mol of formula units
E = -3.743 eV per atom

8.
The following is a GGA-PBE calculation of a relaxed CeSmTl3 crystal, from Alexandria via LeMat-Bulk.

Cell: 8.1793 8.1793 10.8727 Å, 90.00 90.00 75.59°
Positions (direct):
Ce 0.0068 0.9932 0.7500
Ce 0.3962 0.6038 0.7500
Ce 0.6038 0.3962 0.2500
Ce 0.9932 0.0068 0.2500
Sm 0.0000 0.5000 0.0000
Sm 0.0000 0.5000 0.5000
Sm 0.5000 0.0000 0.0000
Sm 0.5000 0.0000 0.5000
Tl 0.1624 0.5722 0.2500
Tl 0.1894 0.8106 0.0015
Tl 0.1894 0.8106 0.4985
Tl 0.3823 0.3823 0.0000
Tl 0.3823 0.3823 0.5000
Tl 0.4278 0.8376 0.2500
Tl 0.5722 0.1624 0.7500
Tl 0.6177 0.6177 0.0000
Tl 0.6177 0.6177 0.5000
Tl 0.8106 0.1894 0.5015
Tl 0.8106 0.1894 0.9985
Tl 0.8376 0.4278 0.7500

space-group type = Cmcm, No. 63
E = -3.463 eV per atom

> The highest E belongs to which entry?

Ce2Sm2Tl7